A plane-wave DFT calculation with PBE was carried out for a relaxed structure of VGa2Sn.

abc: 2.9564 2.9564 10.8809
angles: 82.19 82.19 60.00
Atoms (fractional coordinates):
Sn 0.5000 0.5000 0.5000
Ga 0.0788 0.0788 0.7637
Ga 0.9212 0.9212 0.2363
V 0.0000 0.0000 0.0000

Its space group is R-3m (166). The calculation puts the calculated total energy at -4.305 eV per atom. Its spin magnetization is 0.0 μB/cell. For the energy above the most stable polymorph in this dataset, the calculation gives 0.155 eV/atom. The density comes out at 6.31 g cm⁻³.